Li2MnVP3O12 PBE+U optimized geometry; volume = 12.19 A^3/atom; excess energy over the best structure of this formula in the dataset = 16 meV/atom
1.0
8.328 -0.006 0.012
-4.107 7.320 0.009
-3.957 -2.228 7.592
Li O P V Mn
4 24 6 2 2
Direct
0.937 0.266 0.859
0.187 0.931 0.856
0.395 0.321 0.141
0.061 0.729 0.145
0.297 0.475 0.800
0.642 0.168 0.176
0.877 0.754 0.752
0.635 0.010 0.417
0.240 0.456 0.084
0.376 0.222 0.903
0.003 0.134 0.745
0.388 0.129 0.271
0.618 0.882 0.723
0.196 0.209 0.577
0.689 0.520 0.194
0.984 0.859 0.246
0.359 0.986 0.566
0.403 0.616 0.408
0.815 0.790 0.435
0.599 0.766 0.114
0.611 0.396 0.590
0.759 0.524 0.917
0.356 0.845 0.816
0.308 0.844 0.099
0.682 0.169 0.880
0.001 0.531 0.817
0.013 0.475 0.196
0.150 0.255 0.267
0.499 0.967 0.740
0.801 0.546 0.757
0.781 0.737 0.252
0.499 0.035 0.250
0.216 0.261 0.751
0.208 0.455 0.249
0.315 0.654 0.952
0.699 0.342 0.046
0.708 0.847 0.565
0.289 0.151 0.436